# 1
Below is an optimized crystal structure of EuMg2, with properties calculated at the PBE-GGA level.

Cell and atoms, written as POSCAR:
```
EuMg2
1.0
0.0000 4.4386 4.4386
4.4386 0.0000 4.4386
4.4386 4.4386 0.0000
Eu Mg
2 4
Direct
0.1250 0.1250 0.1250
0.8750 0.8750 0.8750
0.0000 0.5000 0.5000
0.5000 0.0000 0.5000
0.5000 0.5000 0.0000
0.5000 0.5000 0.5000
```

Output
Space group ... Fd-3m (227)
Crystal system ... cubic
E_tot ... -27.600 eV/cell
DOS(E_F) ... 1.157 states/eV/atom
Formation energy from the elements ... -0.112 eV/atom

# 2
Below is an optimized crystal structure of ZrAl2Ni5, with properties calculated at the PBE-GGA level.

Cell and atoms, written as POSCAR:
```
ZrAl2Ni5
1.0
-1.9325 1.9325 6.8111
1.9325 -1.9325 6.8111
1.9325 1.9325 -6.8111
Zr Al Ni
1 2 5
Direct
0.0000 0.0000 0.0000
0.2520 0.2520 0.0000
0.7480 0.7480 0.0000
0.1356 0.6356 0.5000
0.3644 0.8644 0.5000
0.5000 0.5000 0.0000
0.6356 0.1356 0.5000
0.8644 0.3644 0.5000
```

Output
Space group ... I4/mmm (139)
Crystal system ... tetragonal
E_tot ... -49.211 eV/cell
DOS(E_F) ... 0.383 states/eV/atom
Polymorph energy (0 for the lowest one) ... 0.000 eV per atom
Formation energy from the elements ... -0.534 eV/atom

# 3
Below is an optimized crystal structure of AsOsI2N, with properties calculated at the PBE-GGA level.

Cell and atoms, written as POSCAR:
```
AsOsI2N
1.0
5.5434 0.0000 0.0000
0.0000 5.5434 0.0000
0.0000 0.0000 3.7284
As Os I N
1 1 2 1
Direct
0.0000 0.0000 0.0000
0.5000 0.5000 0.5000
0.0000 0.5000 0.5000
0.5000 0.0000 0.5000
0.5000 0.5000 0.0000
```

Output
Space group ... P4/mmm (123)
Formation energy from raw total energies ... 0.71 eV/atom
Crystal system ... tetragonal
E_tot ... -23.742 eV/cell
DOS(E_F) ... 0.687 states/eV/atom
Polymorph energy (0 for the lowest one) ... 0.000 eV per atom

# 4
Below is an optimized crystal structure of CdCo2Se, with properties calculated at the PBE-GGA level.

Cell and atoms, written as POSCAR:
```
CdCo2Se
1.0
3.5897 0.0000 0.0000
0.0000 3.6596 0.0000
0.0000 0.0000 5.0943
Cd Co Se
1 2 1
Direct
0.0000 0.0000 0.0000
0.5000 0.5000 0.2338
0.5000 0.5000 0.7662
0.5000 0.0000 0.5000
```

Output
Space group ... Pmmm (47)
Formation energy from raw total energies ... 0.26 eV/atom
Crystal system ... orthorhombic
E_tot ... -17.587 eV/cell
DOS(E_F) ... 0.950 states/eV/atom
Polymorph energy (0 for the lowest one) ... 0.111 eV per atom

# 5
Below is an optimized crystal structure of BePb3, with properties calculated at the PBE-GGA level.

Cell and atoms, written as POSCAR:
```
BePb3
1.0
3.4964 0.0000 0.0000
0.0000 3.4964 0.0000
0.0000 0.0000 8.5706
Be Pb
1 3
Direct
0.0000 0.0000 0.0000
0.0000 0.0000 0.5000
0.5000 0.5000 0.1972
0.5000 0.5000 0.8028
```

Output
Space group ... P4/mmm (123)
Crystal system ... tetragonal
E_tot ... -13.320 eV/cell
DOS(E_F) ... 0.388 states/eV/atom
Polymorph energy (0 for the lowest one) ... 0.127 eV per atom
Formation energy from the elements ... 0.383 eV/atom

# 6
Below is an optimized crystal structure of SnS2, with properties calculated at the PBE-GGA level.

Cell and atoms, written as POSCAR:
```
SnS2
1.0
3.9165 -2.5480 0.0000
3.9165 2.5480 0.0000
-3.5650 0.0000 3.9255
Sn S
1 2
Direct
0.0000 0.0000 0.0000
0.4375 0.4375 0.2370
0.4368 0.4368 0.6377
```

Output
Space group ... Cm (8)
Formation energy from raw total energies ... -0.11 eV/atom
Crystal system ... monoclinic
E_tot ... -12.601 eV/cell
DOS(E_F) ... 0.050 states/eV/atom

# 7
Below is an optimized crystal structure of Pr3HoRu8, with properties calculated at the PBE-GGA level.

Cell and atoms, written as POSCAR:
```
Pr3HoRu8
1.0
2.7048 1.5616 8.8937
-2.7048 1.5616 8.8937
0.0000 -3.1232 8.8937
Pr Ho Ru
3 1 8
Direct
0.0000 0.0000 0.0000
0.1250 0.1250 0.1250
0.6252 0.6252 0.6252
0.5007 0.5007 0.5007
0.0604 0.5674 0.5674
0.0674 0.0674 0.5509
0.0674 0.5509 0.0674
0.3175 0.3175 0.3175
0.5509 0.0674 0.0674
0.5674 0.0604 0.5674
0.5674 0.5674 0.0604
0.8180 0.8180 0.8180
```

Output
Space group ... R3m (160)
Crystal system ... trigonal
E_tot ... -94.870 eV/cell
DOS(E_F) ... 1.371 states/eV/atom
Formation energy from the elements ... -0.146 eV/atom

# 8
Below is an optimized crystal structure of MgAs2S, with properties calculated at the PBE-GGA level.

Cell and atoms, written as POSCAR:
```
MgAs2S
1.0
0.0000 3.3560 3.3560
3.3560 0.0000 3.3560
3.3560 3.3560 0.0000
Mg As S
1 2 1
Direct
0.0000 0.0000 0.0000
0.2500 0.2500 0.2500
0.7500 0.7500 0.7500
0.5000 0.5000 0.5000
```

Output
Space group ... Fm-3m (225)
Formation energy from raw total energies ... 0.33 eV/atom
Crystal system ... cubic
E_tot ... -13.709 eV/cell
DOS(E_F) ... 0.523 states/eV/atom
Polymorph energy (0 for the lowest one) ... 0.166 eV per atom

# 9
Below is an optimized crystal structure of CuAg2Cl, with properties calculated at the PBE-GGA level.

Cell and atoms, written as POSCAR:
```
CuAg2Cl
1.0
3.0124 -3.0176 0.0000
3.0124 3.0176 0.0000
0.0000 0.0000 3.9144
Cu Ag Cl
1 2 1
Direct
0.0000 0.0000 0.0000
0.0000 0.5000 0.5000
0.5000 0.0000 0.5000
0.5000 0.5000 0.0000
```

Output
Space group ... Cmmm (65)
Formation energy from raw total energies ... 0.20 eV/atom
Crystal system ... orthorhombic
E_tot ... -10.863 eV/cell
DOS(E_F) ... 0.257 states/eV/atom
Polymorph energy (0 for the lowest one) ... 0.260 eV per atom

# 10
Below is an optimized crystal structure of TbEr2Sc3As6, with properties calculated at the PBE-GGA level.

Cell and atoms, written as POSCAR:
```
TbEr2Sc3As6
1.0
3.4608 -5.9942 0.0000
3.4608 5.9942 0.0000
-2.3042 0.0000 6.5049
Tb Er Sc As
1 2 3 6
Direct
0.0000 0.0000 0.0000
0.3332 0.6668 0.0000
0.6668 0.3332 0.0000
0.1660 0.8340 0.5000
0.5000 0.5000 0.5000
0.8340 0.1660 0.5000
0.0881 0.4234 0.2640
0.2476 0.2476 0.7364
0.4234 0.0881 0.2640
0.5766 0.9119 0.7360
0.7524 0.7524 0.2636
0.9119 0.5766 0.7360
```

Output
Space group ... C2/m (12)
Crystal system ... monoclinic
E_tot ... -77.935 eV/cell
DOS(E_F) ... 0.171 states/eV/atom
Formation energy from the elements ... -1.441 eV/atom

# 11
Below is an optimized crystal structure of GePbW2, with properties calculated at the PBE-GGA level.

Cell and atoms, written as POSCAR:
```
GePbW2
1.0
0.0000 3.2826 3.2826
3.2826 0.0000 3.2826
3.2826 3.2826 0.0000
Ge Pb W
1 1 2
Direct
0.0000 0.0000 0.0000
0.5000 0.5000 0.5000
0.2500 0.2500 0.2500
0.7500 0.7500 0.7500
```

Output
Space group ... Fm-3m (225)
Crystal system ... cubic
E_tot ... -30.351 eV/cell
DOS(E_F) ... 1.050 states/eV/atom
Polymorph energy (0 for the lowest one) ... 0.003 eV per atom
Formation energy from the elements ... 0.970 eV/atom

# 12
Below is an optimized crystal structure of Nd2Ga3Cu4Pd, with properties calculated at the PBE-GGA level.

Cell and atoms, written as POSCAR:
```
Nd2Ga3Cu4Pd
1.0
4.1765 0.0000 0.0000
0.0000 4.1765 0.0000
0.0000 0.0000 10.3973
Nd Ga Cu Pd
2 3 4 1
Direct
0.0000 0.5000 0.2474
0.5000 0.0000 0.7526
0.0000 0.5000 0.8746
0.5000 0.0000 0.1254
0.5000 0.5000 0.5000
0.0000 0.0000 0.0000
0.0000 0.5000 0.6411
0.5000 0.0000 0.3589
0.5000 0.5000 0.0000
0.0000 0.0000 0.5000
```

Output
Space group ... P-4m2 (115)
Crystal system ... tetragonal
E_tot ... -44.411 eV/cell
DOS(E_F) ... 0.597 states/eV/atom
Formation energy from the elements ... -0.422 eV/atom